Here is HfInPF2 after structural relaxation from the Alexandria database. Energies are from GGA-PBE.

abc: 4.038 4.038 6.068
angles: 90.00 90.00 90.00
Atoms (fractional coordinates):
Hf1 0.000 0.000 0.000
In1 0.000 0.000 0.500
P1 0.500 0.500 0.500
F1 0.000 0.500 0.000
F2 0.500 0.000 0.000

D(E_F) ... 3.336 states/eV/f.u.


Here is HfInPt2F after structural relaxation from the Alexandria database. Energies are from GGA-PBE.

abc: 4.883 4.883 6.170
angles: 90.00 90.00 90.00
Atoms (fractional coordinates):
Hf1 0.000 0.000 0.000
In1 0.000 0.000 0.500
Pt1 0.000 0.500 0.000
Pt2 0.500 0.000 0.000
F1 0.500 0.500 0.500

D(E_F) ... 3.401 states/eV/f.u.


Here is HfInRh2F after structural relaxation from the Alexandria database. Energies are from GGA-PBE.

abc: 4.839 4.839 5.370
angles: 90.00 90.00 90.00
Atoms (fractional coordinates):
Hf1 0.000 0.000 0.000
In1 0.000 0.000 0.500
Rh1 0.000 0.500 0.500
Rh2 0.500 0.000 0.500
F1 0.500 0.500 0.000

D(E_F) ... 4.644 states/eV/f.u.


Here is HfIn2SbF after structural relaxation from the Alexandria database. Energies are from GGA-PBE.

abc: 5.740 5.740 4.107
angles: 90.00 90.00 90.00
Atoms (fractional coordinates):
Hf1 0.000 0.000 0.000
In1 0.000 0.500 0.500
In2 0.500 0.000 0.500
Sb1 0.500 0.500 0.500
F1 0.500 0.500 0.000

D(E_F) ... 4.760 states/eV/f.u.


Here is HfInSe2F after structural relaxation from the Alexandria database. Energies are from GGA-PBE.

abc: 5.288 5.288 4.178
angles: 90.00 90.00 90.00
Atoms (fractional coordinates):
Hf1 0.000 0.000 0.000
In1 0.500 0.500 0.500
Se1 0.000 0.500 0.000
Se2 0.500 0.000 0.000
F1 0.000 0.000 0.500

D(E_F) ... 0.815 states/eV/f.u.


Here is HfInSn2F after structural relaxation from the Alexandria database. Energies are from GGA-PBE.

abc: 5.801 5.801 4.046
angles: 90.00 90.00 90.00
Atoms (fractional coordinates):
Hf1 0.000 0.000 0.000
In1 0.500 0.500 0.500
Sn1 0.000 0.500 0.000
Sn2 0.500 0.000 0.000
F1 0.000 0.000 0.500

D(E_F) ... 3.466 states/eV/f.u.


Here is HfInTe2F after structural relaxation from the Alexandria database. Energies are from GGA-PBE.

abc: 5.701 5.701 4.173
angles: 90.00 90.00 90.00
Atoms (fractional coordinates):
Hf1 0.000 0.000 0.000
In1 0.500 0.500 0.500
Te1 0.000 0.500 0.000
Te2 0.500 0.000 0.000
F1 0.000 0.000 0.500

D(E_F) ... 1.147 states/eV/f.u.


Here is HfTiIn2F after structural relaxation from the Alexandria database. Energies are from GGA-PBE.

abc: 5.628 5.628 4.833
angles: 90.00 90.00 90.00
Atoms (fractional coordinates):
Hf1 0.000 0.000 0.000
Ti1 0.000 0.000 0.500
In1 0.000 0.500 0.000
In2 0.500 0.000 0.000
F1 0.500 0.500 0.500

D(E_F) ... 4.364 states/eV/f.u.


Here is HfTl2InF6 after structural relaxation from the Alexandria database. Energies are from GGA-PBE.

abc: 6.275 8.526 8.064
angles: 90.00 90.00 90.00
Atoms (fractional coordinates):
Hf1 0.250 0.250 0.120
Hf2 0.750 0.750 0.880
Tl1 0.250 0.006 0.570
Tl2 0.250 0.494 0.570
Tl3 0.750 0.506 0.430
Tl4 0.750 0.994 0.430
In1 0.250 0.750 0.253
In2 0.750 0.250 0.747
F1 0.024 0.250 0.296
F2 0.027 0.250 0.939
F3 0.250 0.015 0.131
F4 0.250 0.485 0.131
F5 0.473 0.250 0.939
F6 0.476 0.250 0.296
F7 0.524 0.750 0.704
F8 0.527 0.750 0.061
F9 0.750 0.515 0.869
F10 0.750 0.985 0.869
F11 0.973 0.750 0.061
F12 0.976 0.750 0.704

D(E_F) ... 3.716 states/eV/f.u.


Here is HfTl2InF after structural relaxation from the Alexandria database. Energies are from GGA-PBE.

abc: 4.978 4.978 4.674
angles: 90.00 90.00 90.00
Atoms (fractional coordinates):
Hf1 0.000 0.000 0.000
Tl1 0.000 0.500 0.500
Tl2 0.500 0.000 0.500
In1 0.500 0.500 0.000
F1 0.500 0.500 0.500

D(E_F) ... 1.873 states/eV/f.u.


Here is HfTlIn2F8 after structural relaxation from the Alexandria database. Energies are from GGA-PBE.

abc: 5.494 5.897 7.153
angles: 92.82 92.77 93.08
Atoms (fractional coordinates):
Hf1 0.000 0.000 0.000
Tl1 0.000 0.000 0.500
In1 0.484 0.518 0.236
In2 0.516 0.482 0.764
F1 0.148 0.754 0.145
F2 0.151 0.239 0.192
F3 0.290 0.037 0.844
F4 0.373 0.674 0.506
F5 0.627 0.326 0.494
F6 0.710 0.963 0.156
F7 0.849 0.761 0.808
F8 0.852 0.246 0.855

D(E_F) ... 3.286 states/eV/f.u.


Number 1: uncorrected formation energy -1.5319 eV/atom, theoretical density 6.080 g/cm³, volume 98.9 Å³/cell. Number 2: uncorrected formation energy 0.3767 eV/atom, theoretical density 7.931 g/cm³, volume 147.1 Å³/cell. Number 3: uncorrected formation energy 1.1207 eV/atom, theoretical density 6.843 g/cm³, volume 125.7 Å³/cell. Number 4: uncorrected formation energy 0.1518 eV/atom, theoretical density 6.737 g/cm³, volume 135.3 Å³/cell. Number 5: uncorrected formation energy -1.5149 eV/atom, theoretical density 6.683 g/cm³, volume 116.8 Å³/cell. Number 6: uncorrected formation energy -0.6886 eV/atom, theoretical density 6.705 g/cm³, volume 136.2 Å³/cell. Number 7: uncorrected formation energy -1.2334 eV/atom, theoretical density 6.948 g/cm³, volume 135.6 Å³/cell. Number 8: uncorrected formation energy 0.5663 eV/atom, theoretical density 5.154 g/cm³, volume 153.0 Å³/cell. Number 9: uncorrected formation energy -2.5692 eV/atom, theoretical density 6.282 g/cm³, volume 431.4 Å³/cell. Number 10: uncorrected formation energy -0.2197 eV/atom, theoretical density 10.338 g/cm³, volume 115.8 Å³/cell. Number 11: uncorrected formation energy -2.6863 eV/atom, theoretical density 5.499 g/cm³, volume 230.8 Å³/cell.